# 1
## Ac2HoHg (GGA-PBE)

Data for a relaxed structure of Ac2HoHg.

a b c (Å): 3.791 3.791 12.963
angles (deg): 81.59 81.59 60.00
Element x y z (fractional)
Ac (0.911, 0.911, 0.268)
Ac (0.089, 0.089, 0.732)
Ho (0.500, 0.500, 0.500)
Hg (0.000, 0.000, 0.000)

VASP energy = -3.152 eV per atom
E_form = 0.12 eV/atom
calculated volume = 39.759 Å³/atom

# 2
## YCdCu2 (GGA-PBE)

Data for a relaxed structure of YCdCu2.

a b c (Å): 4.454 4.454 9.547
angles (deg): 76.51 76.51 90.00
Element x y z (fractional)
Cu (0.375, 0.239, 0.750)
Cu (0.989, 0.625, 0.250)
Cu (0.761, 0.125, 0.250)
Cu (0.875, 0.011, 0.750)
Y (0.500, 0.500, 0.000)
Y (0.250, 0.750, 0.500)
Cd (0.000, 0.000, 0.000)
Cd (0.750, 0.250, 0.500)

VASP energy = -3.703 eV per atom
E_form = 0.19 eV/atom
calculated volume = 22.344 Å³/atom

# 3
## Mg2Zn9Se (GGA-PBE)

Data for a relaxed structure of Mg2Zn9Se.

a b c (Å): 9.349 9.350 9.350
angles (deg): 32.38 32.38 32.38
Element x y z (fractional)
Zn (0.666, 0.666, 0.666)
Zn (0.588, 0.588, 0.082)
Zn (0.500, 0.500, 0.500)
Zn (0.334, 0.334, 0.334)
Zn (0.918, 0.412, 0.412)
Zn (0.412, 0.412, 0.918)
Zn (0.412, 0.918, 0.412)
Zn (0.588, 0.082, 0.588)
Zn (0.082, 0.588, 0.588)
Mg (0.859, 0.859, 0.859)
Mg (0.141, 0.141, 0.141)
Se (0.000, 0.000, 0.000)

VASP energy = -1.509 eV per atom
calculated volume = 17.364 Å³/atom
uncorrected formation energy = 0.0028 eV/atom

# 4
## K3Na2RuF9 (GGA-PBE)

Data for a relaxed structure of K3Na2RuF9.

a b c (Å): 6.136 6.136 7.619
angles (deg): 90.00 90.00 120.00
Site moments in Bohr magnetons follow the coordinates.
Element x y z (fractional)
F (0.500, 0.000, 0.000)  0.00
F (0.850, 0.700, 0.649)  0.06
F (0.150, 0.850, 0.351)  0.06
F (0.850, 0.150, 0.649)  0.06
F (0.150, 0.300, 0.351)  0.06
F (0.300, 0.150, 0.649)  0.06
F (0.000, 0.500, 0.000)  0.00
F (0.700, 0.850, 0.351)  0.06
F (0.500, 0.500, 0.000)  0.00
Na (0.667, 0.333, 0.830)  0.00
Na (0.333, 0.667, 0.170)  0.00
K (0.333, 0.667, 0.747)  0.00
K (0.000, 0.000, 0.000)  0.00
K (0.667, 0.333, 0.253)  0.00
Ru (0.000, 0.000, 0.500)  1.53

VASP energy = -4.591 eV per atom
calculated volume = 16.560 Å³/atom
uncorrected formation energy = -2.4547 eV/atom

# 5
## Sm2ScPb (GGA-PBE)

Data for a relaxed structure of Sm2ScPb.

a b c (Å): 3.510 3.510 12.064
angles (deg): 81.64 81.64 60.00
Element x y z (fractional)
Sm (0.091, 0.091, 0.727)
Sm (0.909, 0.909, 0.273)
Pb (0.000, 0.000, 0.000)
Sc (0.500, 0.500, 0.500)

VASP energy = -4.812 eV per atom
E_form = 0.06 eV/atom
calculated volume = 31.714 Å³/atom

# 6
## La8Sm3Pu (GGA-PBE)

Data for a relaxed structure of La8Sm3Pu.

a b c (Å): 8.572 8.572 8.572
angles (deg): 93.45 118.03 118.03
Site moments in Bohr magnetons follow the coordinates.
Element x y z (fractional)
Sm (0.000, 0.500, 0.500)  0.05
Sm (0.500, 0.250, 0.750)  0.09
Sm (0.500, 0.750, 0.250)  0.09
La (0.538, 0.746, 0.746)  -0.11
La (0.000, 0.643, 0.885)  0.02
La (0.000, 0.254, 0.792)  -0.11
La (0.758, 0.115, 0.115)  0.02
La (0.000, 0.885, 0.643)  0.02
La (0.000, 0.792, 0.254)  -0.11
La (0.462, 0.208, 0.208)  -0.11
La (0.242, 0.357, 0.357)  0.02
Pu (0.000, 0.000, 0.000)  -5.46

VASP energy = -5.224 eV per atom
E_form = 0.43 eV/atom
calculated volume = 38.146 Å³/atom

# 7
## SmGa6 (GGA-PBE)

Data for a relaxed structure of SmGa6.

a b c (Å): 6.022 6.022 6.022
angles (deg): 109.47 109.47 109.47
Element x y z (fractional)
Ga (0.500, 0.250, 0.750)
Ga (0.500, 0.750, 0.250)
Ga (0.750, 0.250, 0.500)
Ga (0.250, 0.750, 0.500)
Ga (0.250, 0.500, 0.750)
Ga (0.750, 0.500, 0.250)
Sm (0.000, 0.000, 0.000)

VASP energy = -3.185 eV per atom
E_form = 0.08 eV/atom
calculated volume = 24.012 Å³/atom

# 8
## ZnCd2Ru (GGA-PBE)

Data for a relaxed structure of ZnCd2Ru.

a b c (Å): 5.106 5.106 5.106
angles (deg): 133.43 133.43 67.98
Site moments in Bohr magnetons follow the coordinates.
Element x y z (fractional)
Cd (0.250, 0.750, 0.500)  -0.01
Cd (0.000, 0.000, 0.000)  -0.01
Ru (0.500, 0.500, 0.000)  0.51
Zn (0.750, 0.250, 0.500)  -0.01

VASP energy = -2.905 eV per atom
E_form = 0.19 eV/atom
calculated volume = 17.248 Å³/atom